Ba2YW | PBE | optimized geometry

```
Ba2YW
1.0
9.835 0.017 -0.017
9.198 3.480 -0.017
1.191 0.219 4.675
Ba W Y
2 1 1
direct
0.095 0.095 0.904 Ba
0.405 0.405 0.596 Ba
0.750 0.750 0.750 W
0.250 0.250 0.250 Y
```

Output
The value obtained for the offset from the most stable computed form is 74 meV per atom. As for the total energy: -5.00 eV per atom. The density of states at the Fermi level is 6.2 states/eV/f.u. The calculated formation energy is 0.8198 eV per atom.

La4PmIr2 | PBE | optimized geometry

```
La4PmIr2
1.0
6.692 0.000 0.000
0.000 7.554 -3.239
0.000 -0.178 8.167
Pm Ir La
2 4 8
direct
0.250 0.851 0.975 Pm
0.750 0.149 0.025 Pm
0.250 0.228 0.990 Ir
0.750 0.772 0.010 Ir
0.750 0.360 0.406 Ir
0.250 0.640 0.594 Ir
0.506 0.420 0.776 La
0.250 0.264 0.341 La
0.750 0.736 0.659 La
0.994 0.420 0.776 La
0.750 0.013 0.373 La
0.006 0.580 0.224 La
0.494 0.580 0.224 La
0.250 0.987 0.627 La
```

Output
As for the total energy: -6.46 eV per atom. The density of states at the Fermi level is 7.8 states/eV/f.u. The calculated formation energy is -0.4305 eV per atom.

Nd5Tm4Sc | PBE | optimized geometry

```
Nd5Tm4Sc
1.0
-0.470 2.693 2.342
-3.530 0.000 -0.708
-3.622 -16.336 18.059
Nd Tm Sc
5 4 1
direct
0.500 0.500 0.094 Nd
0.500 0.500 0.297 Nd
0.500 0.500 0.500 Nd
0.500 0.500 0.703 Nd
0.500 0.500 0.906 Nd
0.000 0.000 0.195 Tm
0.000 0.000 0.398 Tm
0.000 0.000 0.602 Tm
0.000 0.000 0.805 Tm
0.000 0.000 0.000 Sc
```

Output
As for the total energy: -4.78 eV per atom. The density of states at the Fermi level is 14.0 states/eV/f.u. The calculated formation energy is 0.0269 eV per atom.

PmPr12Tm6 | PBE | optimized geometry

```
PmPr12Tm6
1.0
-1.237 9.190 -2.060
-2.493 -5.287 -7.487
-5.401 -2.328 7.459
Pm Pr Tm
1 12 6
direct
0.000 0.000 0.000 Pm
0.265 0.067 0.803 Pr
0.265 0.462 0.197 Pr
0.735 0.538 0.803 Pr
0.735 0.933 0.197 Pr
0.067 0.803 0.265 Pr
0.462 0.197 0.265 Pr
0.538 0.803 0.735 Pr
0.933 0.197 0.735 Pr
0.803 0.265 0.067 Pr
0.197 0.265 0.462 Pr
0.803 0.735 0.538 Pr
0.197 0.735 0.933 Pr
0.358 0.500 0.858 Tm
0.642 0.500 0.142 Tm
0.500 0.858 0.358 Tm
0.500 0.142 0.642 Tm
0.858 0.358 0.500 Tm
0.142 0.642 0.500 Tm
```

Output
The value obtained for the offset from the most stable computed form is 204 meV per atom. As for the total energy: -4.46 eV per atom. The density of states at the Fermi level is 27.9 states/eV/f.u. The calculated formation energy is 0.2226 eV per atom.

YbCo3 | PBE | optimized geometry

```
YbCo3
1.0
-0.295 -3.884 3.141
3.939 -1.235 2.828
-1.410 3.174 7.778
Yb Co
3 9
direct
0.141 0.141 0.576 Yb
0.859 0.859 0.424 Yb
0.000 0.000 0.000 Yb
0.079 0.582 0.756 Co
0.582 0.582 0.756 Co
0.582 0.079 0.756 Co
0.921 0.418 0.244 Co
0.418 0.418 0.244 Co
0.418 0.921 0.244 Co
0.334 0.334 0.997 Co
0.666 0.666 0.003 Co
0.500 0.500 0.500 Co
```

Output
As for the total energy: -5.77 eV per atom. The density of states at the Fermi level is 6.0 states/eV/f.u. The calculated formation energy is -0.0560 eV per atom.

SrGeCl3 | PBE | optimized geometry

```
SrGeCl3
1.0
-1.205 -4.345 -2.793
-1.117 -2.581 4.496
-5.043 1.610 -0.329
Sr Ge Cl
1 1 3
direct
0.500 0.500 0.500 Sr
0.000 0.000 0.000 Ge
0.000 0.500 0.000 Cl
0.000 0.000 0.500 Cl
0.500 0.000 0.000 Cl
```

Output
The value obtained for the offset from the most stable computed form is 36 meV per atom. As for the total energy: -3.38 eV per atom. The density of states at the Fermi level is 3.5 states/eV/f.u. As for the uncorrected formation energy: -1.02 eV/atom.

These records have theoretical density values of 5.71 8.81 7.50 7.17 10.03 2.97 g/cm3, in the order they appear.